# Nd6Ho4Er (GGA-PBE, relaxed)
data_Nd6Ho4Er
_symmetry_space_group_name_H-M 'I -4 2 m'
_symmetry_Int_Tables_number 121
_symmetry_space_group_name_Hall 'I -4 2'
_cell_length_a 6.760
_cell_length_b 6.760
_cell_length_c 16.646
_cell_angle_alpha 90.00
_cell_angle_beta 90.00
_cell_angle_gamma 90.00
loop_
_atom_site_label
_atom_site_type_symbol
_atom_site_fract_x
_atom_site_fract_y
_atom_site_fract_z
_atom_site_occupancy
Nd1 Nd 0.000 0.500 0.000 1
Nd2 Nd 0.191 0.191 0.177 1
Ho1 Ho 0.177 0.177 0.382 1
Er1 Er 0.000 0.000 0.000 1
# Formation energy from the elements in eV per formula unit: 3.30
# Calculated volume in Å³/f.u.: 380.4
# Energy in Ha/atom: -0.1610
# DOS at the Fermi energy in states/eV/atom: 1.48

***

# Nd4Ho8Er (GGA-PBE, relaxed)
data_Nd4Ho8Er
_symmetry_space_group_name_H-M 'R -3 m'
_symmetry_Int_Tables_number 166
_symmetry_space_group_name_Hall '-R 3 2"'
_cell_length_a 11.0182
_cell_length_b 11.0182
_cell_length_c 13.4661
_cell_angle_alpha 90.00
_cell_angle_beta 90.00
_cell_angle_gamma 120.00
loop_
_atom_site_label
_atom_site_type_symbol
_atom_site_fract_x
_atom_site_fract_y
_atom_site_fract_z
_atom_site_occupancy
Nd1 Nd 0.0000 0.0000 0.0000 1
Nd2 Nd 0.0000 0.5000 0.0000 1
Ho1 Ho 0.0000 0.0000 0.2403 1
Ho2 Ho 0.0125 0.5062 0.7465 1
Er1 Er 0.0000 0.0000 0.5000 1
# Formation energy from the elements in eV per formula unit: 6.73
# Calculated volume in Å³/f.u.: 471.9
# Energy in Ha/atom: -0.1513
# DOS at the Fermi energy in states/eV/atom: 1.60

***

# NdHo6Er12 (GGA-PBE, relaxed)
data_NdHo6Er12
_symmetry_space_group_name_H-M 'R -3'
_symmetry_Int_Tables_number 148
_symmetry_space_group_name_Hall '-R 3'
_cell_length_a 11.7850
_cell_length_b 11.7850
_cell_length_c 15.0739
_cell_angle_alpha 90.00
_cell_angle_beta 90.00
_cell_angle_gamma 120.00
loop_
_atom_site_label
_atom_site_type_symbol
_atom_site_fract_x
_atom_site_fract_y
_atom_site_fract_z
_atom_site_occupancy
Nd1 Nd 0.0000 0.0000 0.0000 1
Ho1 Ho 0.0077 0.4214 0.6771 1
Er1 Er 0.0217 0.8377 0.1919 1
Er2 Er 0.0394 0.8516 0.4157 1
# Formation energy from the elements in eV per formula unit: 3.06
# Calculated volume in Å³/f.u.: 604.4
# Energy in Ha/atom: -0.1623
# DOS at the Fermi energy in states/eV/atom: 1.63
# Offset from the most stable computed form in eV/atom: 0.000

***

# Nd12Ho5Er3 (GGA-PBE, relaxed)
data_Nd12Ho5Er3
_symmetry_space_group_name_H-M 'I a -3 d'
_symmetry_Int_Tables_number 230
_symmetry_space_group_name_Hall '-I 4bd 2c 3'
_cell_length_a 18.938
_cell_length_b 18.938
_cell_length_c 18.938
_cell_angle_alpha 90.00
_cell_angle_beta 90.00
_cell_angle_gamma 90.00
loop_
_atom_site_label
_atom_site_type_symbol
_atom_site_fract_x
_atom_site_fract_y
_atom_site_fract_z
_atom_site_occupancy
Nd1 Nd 0.010 0.083 0.646 1
Ho1 Ho 0.000 0.000 0.000 1
Ho2 Ho 0.000 0.250 0.375 1
Er1 Er 0.000 0.250 0.125 1
# Formation energy from the elements in eV per formula unit: 19.92
# Calculated volume in Å³/f.u.: 849.0
# Energy in Ha/atom: -0.1357
# DOS at the Fermi energy in states/eV/atom: 1.95

***

Question: Which value of formation energy from the elements does entry 4 give?
Answer: 19.92 eV per formula unit

***

Question: The lowest calculated volume belongs to which entry?
Answer: Nd6Ho4Er

***

Question: Among the records above, which one has the highest DOS at the Fermi energy?
Answer: Nd12Ho5Er3